[1]
{"formula": "CeCoIrO6", "functional": "PBE with a Hubbard U", "state": "relaxed", "lattice_angstrom": [[5.379, 0.000, 0.000], [-2.690, 4.659, 0.000], [0.000, 0.000, 8.630]], "species": ["Ce", "Ce", "Co", "Co", "Ir", "Ir", "O", "O", "O", "O", "O", "O", "O", "O", "O", "O", "O", "O"], "frac_coords": [[0.333, 0.667, 0.250], [0.667, 0.333, 0.750], [0.000, 0.000, 0.000], [0.000, 0.000, 0.500], [0.667, 0.333, 0.250], [0.333, 0.667, 0.750], [0.687, 0.648, 0.122], [0.961, 0.313, 0.122], [0.313, 0.961, 0.622], [0.039, 0.687, 0.878], [0.352, 0.313, 0.378], [0.961, 0.648, 0.378], [0.648, 0.961, 0.878], [0.687, 0.039, 0.378], [0.039, 0.352, 0.622], [0.352, 0.039, 0.122], [0.648, 0.687, 0.622], [0.313, 0.352, 0.878]], "sg": "No. 163", "total_energy_ev_per_cell": -125.5}

***

[2]
{"formula": "CeCo2IrO8", "functional": "PBE with a Hubbard U", "state": "relaxed", "lattice_angstrom": [[5.075, 0.000, 0.000], [0.000, 5.075, 0.000], [-2.538, -2.538, 5.139]], "species": ["Ce", "Co", "Co", "Ir", "O", "O", "O", "O", "O", "O", "O", "O"], "frac_coords": [[0.000, 0.000, 0.000], [0.500, 0.500, 0.000], [0.250, 0.750, 0.500], [0.750, 0.250, 0.500], [0.765, 0.896, 0.208], [0.443, 0.312, 0.208], [0.587, 0.631, 0.677], [0.090, 0.047, 0.677], [0.953, 0.413, 0.323], [0.369, 0.910, 0.323], [0.104, 0.557, 0.792], [0.688, 0.235, 0.792]], "sg": "No. 82", "total_energy_ev_per_cell": -78.8}

***

Number 1 is which compound? CeCoIrO6